Compound: PrAlHg
Source: the Alexandria database
Functional: PBE
Structure: optimized geometry

- Crystal system: hexagonal
- M_tot: 0.0 μB per cell
- Total DFT energy (no corrections): -3.40 eV/atom
- Calculated formation energy: -0.4584 eV per atom

Unit cell a=4.7442 b=4.7442 c=11.5000 alpha=90.00 beta=90.00 gamma=120.00
Closest atoms and distances in Å follow each position.
Fractional coordinates of all 9 atoms:
Pr: 0.0000 0.0000 0.0000  6 Al 3.22, 6 Hg 3.43
Pr: 0.0000 0.0000 0.6687  6 Hg 3.25-3.36, 6 Al 3.36-3.46
Pr: 0.0000 0.0000 0.3313  6 Hg 3.25-3.36, 6 Al 3.36-3.46
Al: 0.6667 0.3333 0.1478  3 Hg 2.76
Al: 0.6667 0.3333 0.8522  3 Hg 2.76
Al: 0.3333 0.6667 0.5000  3 Hg 2.74
Hg: 0.3333 0.6667 0.1793  3 Al 2.76
Hg: 0.3333 0.6667 0.8207  3 Al 2.76
Hg: 0.6667 0.3333 0.5000  3 Al 2.74